Entry 1:
## SrAg4F8 (PBE-GGA)

Data for a geometry-optimized SrAg4F8 structure.

Uncorrected formation energy   -1.475 eV per atom
SG   No. 221
E above lowest polymorph   172 meV per atom
Magnetization   2.3 μB per formula unit
Uncorrected energy   -0.2670 Ry/atom

abc: 5.8552 5.8552 5.8552
angles: 90.00 90.00 90.00
Sites, in units of the cell vectors:
F  0.7432  0.7432  0.2568
F  0.2568  0.2568  0.7432
F  0.2568  0.7432  0.2568
F  0.2568  0.2568  0.2568
F  0.7432  0.2568  0.2568
F  0.2568  0.7432  0.7432
F  0.7432  0.7432  0.7432
F  0.7432  0.2568  0.7432
Ag  0.5000  0.0000  0.5000
Ag  0.5000  0.5000  0.0000
Ag  0.0000  0.5000  0.5000
Ag  0.0000  0.0000  0.0000
Sr  0.5000  0.5000  0.5000

---

Entry 2:
## SrAgF2 (PBE-GGA)

Data for a geometry-optimized SrAgF2 structure.

Uncorrected formation energy   -2.213 eV per atom
SG   No. 122
E above lowest polymorph   229 meV per atom
Magnetization   0.0 μB per formula unit
Uncorrected energy   -0.3147 Ry/atom

abc: 5.8012 5.8012 7.3590
angles: 66.79 66.79 90.00
Sites, in units of the cell vectors:
F  0.2037  0.6250  0.2500
F  0.5463  0.1250  0.2500
F  0.3750  0.4537  0.7500
F  0.8750  0.7963  0.7500
Sr  0.5000  0.5000  0.0000
Sr  0.2500  0.7500  0.5000
Ag  0.0000  0.0000  0.0000
Ag  0.7500  0.2500  0.5000

---

Entry 3:
## Sr4Ag2F (PBE-GGA)

Data for a geometry-optimized Sr4Ag2F structure.

Uncorrected formation energy   -0.911 eV per atom
SG   No. 139
Magnetization   0.0 μB per formula unit
Uncorrected energy   -0.2171 Ry/atom

abc: 5.0454 5.0454 9.6555
angles: 105.15 105.15 90.00
Sites, in units of the cell vectors:
Ag  0.3726  0.3726  0.7452
Ag  0.6274  0.6274  0.2548
Sr  0.0000  0.5000  0.0000
Sr  0.5000  0.0000  0.0000
Sr  0.8127  0.8127  0.6253
Sr  0.1873  0.1873  0.3747
F  0.0000  0.0000  0.0000

---

Entry 4:
## Sr5Ag2F12 (PBE-GGA)

Data for a geometry-optimized Sr5Ag2F12 structure.

Uncorrected formation energy   -3.241 eV per atom
SG   No. 12
Magnetization   0.2 μB per formula unit
Uncorrected energy   -0.3796 Ry/atom

abc: 6.2125 7.5181 8.2873
angles: 106.57 90.00 114.40
Sites, in units of the cell vectors:
Sr  0.3101  0.6202  0.6514
Sr  0.0000  0.0000  0.5000
Sr  0.6899  0.3798  0.3486
Sr  0.3195  0.6390  0.1586
Sr  0.6805  0.3610  0.8414
F  0.5923  0.6859  0.4368
F  0.0936  0.6859  0.4368
F  0.4077  0.3141  0.5632
F  0.0891  0.6329  0.8973
F  0.4562  0.3671  0.1027
F  0.4960  0.9920  0.7639
F  0.5040  0.0080  0.2361
F  0.9064  0.3141  0.5632
F  0.5438  0.6329  0.8973
F  0.0518  0.1036  0.7975
F  0.9482  0.8964  0.2025
F  0.9109  0.3671  0.1027
Ag  0.2233  0.0000  0.0000
Ag  0.7767  0.0000  0.0000

---

Entry 5:
## SrAgF2 (PBE-GGA)

Data for a geometry-optimized SrAgF2 structure.

Uncorrected formation energy   -2.442 eV per atom
SG   No. 166
E above lowest polymorph   0 meV per atom
Magnetization   0.0 μB per formula unit
Uncorrected energy   -0.3315 Ry/atom

abc: 8.2366 8.2366 8.2366
angles: 26.60 26.60 26.60
Sites, in units of the cell vectors:
Sr  0.5000  0.5000  0.5000
F  0.1235  0.1235  0.1235
F  0.8765  0.8765  0.8765
Ag  0.0000  0.0000  0.0000

---

Entry 6:
## SrAg4F8 (PBE-GGA)

Data for a geometry-optimized SrAg4F8 structure.

Uncorrected formation energy   -1.647 eV per atom
SG   No. 166
E above lowest polymorph   0 meV per atom
Magnetization   2.2 μB per formula unit
Uncorrected energy   -0.2797 Ry/atom

abc: 7.0914 7.0914 7.1839
angles: 60.43 60.43 60.00
Sites, in units of the cell vectors:
Sr  0.5000  0.5000  0.5000
Ag  0.0000  0.0000  0.0000
Ag  0.5000  0.0000  0.0000
Ag  0.5000  0.5000  0.0000
Ag  0.0000  0.5000  0.0000
F  0.7099  0.2559  0.7784
F  0.2821  0.2821  0.1537
F  0.7179  0.7179  0.8463
F  0.7441  0.7441  0.2216
F  0.2901  0.7441  0.2216
F  0.2559  0.2559  0.7784
F  0.2559  0.7099  0.7784
F  0.7441  0.2901  0.2216

---

Entry 7:
## SrAg3F (PBE-GGA)

Data for a geometry-optimized SrAg3F structure.

Uncorrected formation energy   -0.257 eV per atom
SG   No. 221
E above lowest polymorph   0 meV per atom
Magnetization   0.0 μB per formula unit
Uncorrected energy   -0.1969 Ry/atom

abc: 4.8884 4.8884 4.8884
angles: 90.00 90.00 90.00
Sites, in units of the cell vectors:
Sr  0.5000  0.5000  0.5000
Ag  0.5000  0.0000  0.0000
Ag  0.0000  0.0000  0.5000
Ag  0.0000  0.5000  0.0000
F  0.0000  0.0000  0.0000

---

Entry 8:
## SrAgF5 (PBE-GGA)

Data for a geometry-optimized SrAgF5 structure.

Uncorrected formation energy   -2.248 eV per atom
SG   No. 15
Magnetization   1.0 μB per formula unit
Uncorrected energy   -0.3110 Ry/atom

abc: 5.8493 5.8493 8.4854
angles: 71.36 71.36 71.43
Sites, in units of the cell vectors:
Ag  0.0000  0.0000  0.0000
Ag  0.0000  0.0000  0.5000
F  0.2256  0.2345  0.8919
F  0.9221  0.0779  0.2500
F  0.6921  0.3066  0.9740
F  0.7655  0.7744  0.6081
F  0.3066  0.6921  0.4740
F  0.7744  0.7655  0.1081
F  0.3079  0.6934  0.0260
F  0.6934  0.3079  0.5260
F  0.2345  0.2256  0.3919
F  0.0779  0.9221  0.7500
Sr  0.5452  0.4548  0.2500
Sr  0.4548  0.5452  0.7500